Entry 1:
# La2Al4O9, optimized geometry, DFT GGA-PBE
data_La2Al4O9
_symmetry_space_group_name_H-M 'P 1'
_symmetry_Int_Tables_number 1
_cell_length_a 7.679
_cell_length_b 8.486
_cell_length_c 5.727
_cell_angle_alpha 90.00
_cell_angle_beta 90.00
_cell_angle_gamma 90.00
loop_
_symmetry_equiv_pos_as_xyz
'x,y,z'
loop_
_atom_site_label
_atom_site_type_symbol
_atom_site_fract_x
_atom_site_fract_y
_atom_site_fract_z
La1 La 0.152 0.178 0.000
La2 La 0.348 0.678 0.000
La3 La 0.652 0.322 0.000
La4 La 0.848 0.822 0.000
Al1 Al 0.000 0.500 0.259
Al2 Al 0.000 0.500 0.741
Al3 Al 0.141 0.839 0.500
Al4 Al 0.359 0.339 0.500
Al5 Al 0.500 0.000 0.259
Al6 Al 0.500 0.000 0.741
Al7 Al 0.641 0.661 0.500
Al8 Al 0.859 0.161 0.500
O1 O 0.000 0.000 0.500
O2 O 0.102 0.719 0.249
O3 O 0.102 0.719 0.751
O4 O 0.148 0.428 0.500
O5 O 0.155 0.450 0.000
O6 O 0.345 0.950 0.000
O7 O 0.352 0.928 0.500
O8 O 0.398 0.219 0.249
O9 O 0.398 0.219 0.751
O10 O 0.500 0.500 0.500
O11 O 0.602 0.781 0.249
O12 O 0.602 0.781 0.751
O13 O 0.648 0.072 0.500
O14 O 0.655 0.050 0.000
O15 O 0.845 0.550 0.000
O16 O 0.852 0.572 0.500
O17 O 0.898 0.281 0.249
O18 O 0.898 0.281 0.751
# space-group type	Pbam, No. 55
# crystal system	orthorhombic
# energy relative to the elements, uncorrected	-301.8	kJ per mole of atoms


Entry 2:
# La3AlO, optimized geometry, DFT GGA-PBE
data_La3AlO
_symmetry_space_group_name_H-M 'P 1'
_symmetry_Int_Tables_number 1
_cell_length_a 5.924
_cell_length_b 6.919
_cell_length_c 6.557
_cell_angle_alpha 90.00
_cell_angle_beta 93.90
_cell_angle_gamma 90.00
loop_
_symmetry_equiv_pos_as_xyz
'x,y,z'
loop_
_atom_site_label
_atom_site_type_symbol
_atom_site_fract_x
_atom_site_fract_y
_atom_site_fract_z
La1 La 0.226 0.250 0.112
La2 La 0.254 0.002 0.634
La3 La 0.254 0.498 0.634
La4 La 0.746 0.502 0.366
La5 La 0.746 0.998 0.366
La6 La 0.774 0.750 0.888
Al1 Al 0.277 0.750 0.152
Al2 Al 0.723 0.250 0.848
O1 O 0.046 0.250 0.416
O2 O 0.954 0.750 0.584
# space-group type	P2_1/m, No. 11
# crystal system	monoclinic
# energy relative to the elements, uncorrected	-112.6	kJ per mole of atoms


Entry 3:
# La2AlO4, optimized geometry, DFT GGA-PBE
data_La2AlO4
_symmetry_space_group_name_H-M 'P 1'
_symmetry_Int_Tables_number 1
_cell_length_a 5.387
_cell_length_b 5.387
_cell_length_c 6.285
_cell_angle_alpha 115.18
_cell_angle_beta 115.18
_cell_angle_gamma 34.54
loop_
_symmetry_equiv_pos_as_xyz
'x,y,z'
loop_
_atom_site_label
_atom_site_type_symbol
_atom_site_fract_x
_atom_site_fract_y
_atom_site_fract_z
La1 La 0.162 0.162 0.190
La2 La 0.838 0.838 0.810
Al1 Al 0.500 0.500 0.500
O1 O 0.140 0.140 0.554
O2 O 0.449 0.449 0.171
O3 O 0.551 0.551 0.829
O4 O 0.860 0.860 0.446
# space-group type	C2/m, No. 12
# crystal system	monoclinic
# energy relative to the elements, uncorrected	-276.7	kJ per mole of atoms


Entry 4:
# La2AlO, optimized geometry, DFT GGA-PBE
data_La2AlO
_symmetry_space_group_name_H-M 'P 1'
_symmetry_Int_Tables_number 1
_cell_length_a 5.105
_cell_length_b 5.105
_cell_length_c 5.105
_cell_angle_alpha 60.00
_cell_angle_beta 60.00
_cell_angle_gamma 60.00
loop_
_symmetry_equiv_pos_as_xyz
'x,y,z'
loop_
_atom_site_label
_atom_site_type_symbol
_atom_site_fract_x
_atom_site_fract_y
_atom_site_fract_z
La1 La 0.250 0.250 0.250
La2 La 0.750 0.750 0.750
Al1 Al 0.000 0.000 0.000
O1 O 0.500 0.500 0.500
# space-group type	Fm-3m, No. 225
# crystal system	cubic
# distance to the lowest polymorph of the same formula	849	meV/atom
# energy relative to the elements, uncorrected	-54.5	kJ per mole of atoms


Entry 5:
# La3AlO, optimized geometry, DFT GGA-PBE
data_La3AlO
_symmetry_space_group_name_H-M 'P 1'
_symmetry_Int_Tables_number 1
_cell_length_a 7.718
_cell_length_b 7.718
_cell_length_c 7.718
_cell_angle_alpha 53.87
_cell_angle_beta 53.87
_cell_angle_gamma 53.87
loop_
_symmetry_equiv_pos_as_xyz
'x,y,z'
loop_
_atom_site_label
_atom_site_type_symbol
_atom_site_fract_x
_atom_site_fract_y
_atom_site_fract_z
La1 La 0.075 0.465 0.683
La2 La 0.317 0.925 0.535
La3 La 0.465 0.683 0.075
La4 La 0.535 0.317 0.925
La5 La 0.683 0.075 0.465
La6 La 0.925 0.535 0.317
Al1 Al 0.139 0.139 0.139
Al2 Al 0.861 0.861 0.861
O1 O 0.336 0.336 0.336
O2 O 0.664 0.664 0.664
# space-group type	R-3, No. 148
# crystal system	trigonal
# energy relative to the elements, uncorrected	-102.0	kJ per mole of atoms


Entry 6:
# La3AlO, optimized geometry, DFT GGA-PBE
data_La3AlO
_symmetry_space_group_name_H-M 'P 1'
_symmetry_Int_Tables_number 1
_cell_length_a 9.277
_cell_length_b 6.419
_cell_length_c 9.471
_cell_angle_alpha 90.00
_cell_angle_beta 114.48
_cell_angle_gamma 90.00
loop_
_symmetry_equiv_pos_as_xyz
'x,y,z'
loop_
_atom_site_label
_atom_site_type_symbol
_atom_site_fract_x
_atom_site_fract_y
_atom_site_fract_z
La1 La 0.045 0.099 0.195
La2 La 0.045 0.401 0.695
La3 La 0.213 0.584 0.103
La4 La 0.213 0.916 0.603
La5 La 0.339 0.094 0.013
La6 La 0.339 0.406 0.513
La7 La 0.661 0.594 0.487
La8 La 0.661 0.906 0.987
La9 La 0.787 0.084 0.397
La10 La 0.787 0.416 0.897
La11 La 0.955 0.599 0.305
La12 La 0.955 0.901 0.805
Al1 Al 0.392 0.554 0.863
Al2 Al 0.392 0.946 0.363
Al3 Al 0.608 0.054 0.637
Al4 Al 0.608 0.446 0.137
O1 O 0.066 0.247 0.951
O2 O 0.066 0.253 0.451
O3 O 0.934 0.747 0.549
O4 O 0.934 0.753 0.049
# space-group type	P2_1/c, No. 14
# crystal system	monoclinic
# energy relative to the elements, uncorrected	-112.4	kJ per mole of atoms


Entry 7:
# La3AlO, optimized geometry, DFT GGA-PBE
data_La3AlO
_symmetry_space_group_name_H-M 'P 1'
_symmetry_Int_Tables_number 1
_cell_length_a 9.469
_cell_length_b 9.469
_cell_length_c 9.469
_cell_angle_alpha 60.00
_cell_angle_beta 60.00
_cell_angle_gamma 60.00
loop_
_symmetry_equiv_pos_as_xyz
'x,y,z'
loop_
_atom_site_label
_atom_site_type_symbol
_atom_site_fract_x
_atom_site_fract_y
_atom_site_fract_z
La1 La 0.070 0.070 0.680
La2 La 0.070 0.680 0.070
La3 La 0.070 0.680 0.680
La4 La 0.320 0.320 0.930
La5 La 0.320 0.930 0.320
La6 La 0.320 0.930 0.930
La7 La 0.680 0.070 0.070
La8 La 0.680 0.070 0.680
La9 La 0.680 0.680 0.070
La10 La 0.930 0.320 0.320
La11 La 0.930 0.320 0.930
La12 La 0.930 0.930 0.320
Al1 Al 0.000 0.500 0.500
Al2 Al 0.500 0.000 0.500
Al3 Al 0.500 0.500 0.000
Al4 Al 0.500 0.500 0.500
O1 O 0.000 0.000 0.000
O2 O 0.000 0.000 0.500
O3 O 0.000 0.500 0.000
O4 O 0.500 0.000 0.000
# space-group type	Fd-3m, No. 227
# crystal system	cubic
# energy relative to the elements, uncorrected	-78.1	kJ per mole of atoms


Entry 8:
# La3AlO, optimized geometry, DFT GGA-PBE
data_La3AlO
_symmetry_space_group_name_H-M 'P 1'
_symmetry_Int_Tables_number 1
_cell_length_a 7.729
_cell_length_b 7.729
_cell_length_c 10.839
_cell_angle_alpha 98.75
_cell_angle_beta 98.75
_cell_angle_gamma 29.13
loop_
_symmetry_equiv_pos_as_xyz
'x,y,z'
loop_
_atom_site_label
_atom_site_type_symbol
_atom_site_fract_x
_atom_site_fract_y
_atom_site_fract_z
La1 La 0.075 0.075 0.147
La2 La 0.204 0.204 0.852
La3 La 0.359 0.359 0.550
La4 La 0.641 0.641 0.450
La5 La 0.796 0.796 0.148
La6 La 0.925 0.925 0.853
Al1 Al 0.033 0.033 0.620
Al2 Al 0.967 0.967 0.380
O1 O 0.218 0.218 0.084
O2 O 0.782 0.782 0.916
# space-group type	C2/m, No. 12
# crystal system	monoclinic
# energy relative to the elements, uncorrected	-105.2	kJ per mole of atoms